# 1
DFT (PBE-GGA) results for a geometry-optimized SnWSeN2 structure.

```
5
Lattice="4.0134 0.0000 0.0000 0.0000 4.0134 0.0000 0.0000 0.0000 5.2526" Properties=species:S:1:pos:R:3 pbc="T T T"
Se 0.0000 0.0000 2.6263
Sn 2.0067 2.0067 2.6263
W 0.0000 0.0000 0.0000
N 0.0000 2.0067 0.0000
N 2.0067 0.0000 0.0000
```

Properties
Calculated volume, Å³/atom: 16.92
Total energy, eV per atom: -7.16
Polymorph energy (0 for the lowest one), eV/atom: 0.000
Formation energy (no corrections), eV/f.u.: 1.3
Total magnetization, μB/f.u.: 0.0



# 2
DFT (PBE-GGA) results for a geometry-optimized YSnSeN2 structure.

```
5
Lattice="4.1446 0.0000 0.0000 0.0000 4.1446 0.0000 0.0000 0.0000 5.3664" Properties=species:S:1:pos:R:3 pbc="T T T"
Y 2.0723 2.0723 2.6832
Sn 0.0000 0.0000 0.0000
Se 0.0000 0.0000 2.6832
N 0.0000 2.0723 0.0000
N 2.0723 0.0000 0.0000
```

Properties
Calculated volume, Å³/atom: 18.44
Total energy, eV per atom: -5.86
Polymorph energy (0 for the lowest one), eV/atom: 0.000
Formation energy (no corrections), eV/f.u.: 1.3
Total magnetization, μB/f.u.: 0.5



# 3
DFT (PBE-GGA) results for a geometry-optimized YSnSeN2 structure.

```
5
Lattice="-1.1048 -4.1647 -0.7546 4.0588 -0.8214 -1.4092 1.5978 -1.4062 5.4219" Properties=species:S:1:pos:R:3 pbc="T T T"
Y 0.0000 0.0000 0.0000
Sn 2.2759 -3.1962 1.6291
Se 0.7989 -0.7031 2.7109
N 2.0294 -0.4107 -0.7046
N -0.5524 -2.0823 -0.3773
```

Properties
Calculated volume, Å³/atom: 22.29
Total energy, eV per atom: -5.59
Polymorph energy (0 for the lowest one), eV/atom: 0.279
Formation energy (no corrections), eV/f.u.: 2.7
Total magnetization, μB/f.u.: 0.0



# 4
DFT (PBE-GGA) results for a geometry-optimized ZnSnSe2N structure.

```
5
Lattice="-2.8067 -2.4033 3.9135 3.9403 -3.6161 0.6053 1.7675 2.3831 2.7311" Properties=species:S:1:pos:R:3 pbc="T T T"
Zn 1.4505 -1.8181 3.6249
Sn 0.0000 0.0000 0.0000
Se 1.9701 -1.8081 0.3026
Se -1.4034 -1.2016 1.9567
N 0.8838 1.1916 1.3656
```

Properties
Calculated volume, Å³/atom: 23.36
Total energy, eV per atom: -3.33
Polymorph energy (0 for the lowest one), eV/atom: 0.211
Formation energy (no corrections), eV/f.u.: 3.9
Total magnetization, μB/f.u.: 1.2